A geometry-optimized MnTeNF2 structure. Source: Alexandria, functional GGA+U.

The structure in POSCAR format:
```
MnTeNF2
1.0
3.831 0.000 0.000
0.000 3.831 0.000
0.000 0.000 5.006
Mn Te N F
1 1 1 2
direct
0.000 0.000 0.000
0.500 0.500 0.500
0.000 0.000 0.500
0.000 0.500 0.000
0.500 0.000 0.000
```

Properties
crystal system	tetragonal
distance to the lowest polymorph of the same formula	0.00	kcal/mol of atoms